Entry 1:
Material: CdGe2Te2
Method: DFT, PBE
State: optimized geometry

abc: 7.9889 7.9889 4.0305
angles: 90.00 90.00 90.00
Element x y z (fractional)
Cd 0.0000 0.0000 0.0000
Cd 0.5000 0.5000 0.0000
Ge 0.1397 0.3603 0.0000
Ge 0.3603 0.8603 0.0000
Ge 0.6397 0.1397 0.0000
Ge 0.8603 0.6397 0.0000
Te 0.1654 0.6654 0.5000
Te 0.3346 0.1654 0.5000
Te 0.6654 0.8346 0.5000
Te 0.8346 0.3346 0.5000

Space group: P4/mbm (127)
DFT total energy, eV/atom: -3.153
Mass density, kg/m3: 6622
E_form (uncorrected), eV per formula unit: 0.666

=====

Entry 2:
Material: Cd2GeTe
Method: DFT, PBE
State: optimized geometry

abc: 5.1744 5.1744 5.1744
angles: 60.00 60.00 60.00
Element x y z (fractional)
Cd 0.2500 0.2500 0.2500
Cd 0.7500 0.7500 0.7500
Ge 0.0000 0.0000 0.0000
Te 0.5000 0.5000 0.5000

Space group: Fm-3m (225)
DFT total energy, eV/atom: -2.129
Mass density, kg/m3: 7205
E_form (uncorrected), eV per formula unit: 1.071